a | Material: ScTiSe2
Method: DFT, GGA-PBEsol
State: optimized geometry

For the total magnetic moment, the calculation gives 1.821 μB/f.u.

It has space group R-3m (No. 166, hexagonal axes), with a = 3.6543 Å, b = 3.6543 Å, c = 24.4438 Å, α = 90.00°, β = 90.00° and γ = 120.00°. Symmetry generates all atoms from Sc at (0.0000, 0.0000, 0.0000), Ti at (0.0000, 0.0000, 0.5000) and Se at (0.0000, 0.0000, 0.3986).

b | Material: ScTiSe2
Method: DFT, GGA-PBEsol
State: optimized geometry

For the total magnetic moment, the calculation gives 1.184 μB/f.u.

It has space group I-42d (No. 122), with a = 5.795 Å, b = 5.795 Å, c = 11.858 Å, α = 90.00°, β = 90.00° and γ = 90.00°. Symmetry generates all atoms from Sc at (0.000, 0.000, 0.000), Ti at (0.000, 0.000, 0.500) and Se at (0.234, 0.250, 0.625).

Energies relative to the minimum, kJ/mol of atoms: a 10.3; b 0.0

a | Material: Sc3Si
Method: DFT, GGA-PBEsol
State: optimized geometry

For the total magnetic moment, the calculation gives 0.000 μB/f.u.

It has space group R-3m (No. 166, hexagonal axes), with a = 9.5153 Å, b = 9.5153 Å, c = 3.0187 Å, α = 90.00°, β = 90.00° and γ = 120.00°. Symmetry generates all atoms from Sc at (0.0000, 0.5000, 0.0000) and Si at (0.0000, 0.0000, 0.0000).

b | Material: Sc3Si
Method: DFT, GGA-PBEsol
State: optimized geometry

For the total magnetic moment, the calculation gives 0.000 μB/f.u.

It has space group Pmm2 (No. 25), with a = 3.181 Å, b = 4.645 Å, c = 5.335 Å, α = 90.00°, β = 90.00° and γ = 90.00°. Symmetry generates all atoms from Sc at (0.000, 0.000, 0.000), Sc at (0.000, 0.500, 0.373), Sc at (0.500, 0.000, 0.540) and Si at (0.500, 0.500, 0.851).

c | Material: Sc3Si
Method: DFT, GGA-PBEsol
State: optimized geometry

For the total magnetic moment, the calculation gives 0.003 μB/f.u.

It has space group Pnma (No. 62), with a = 7.158 Å, b = 8.376 Å, c = 5.614 Å, α = 90.00°, β = 90.00° and γ = 90.00°. Symmetry generates all atoms from Sc at (0.031, 0.250, 0.110), Sc at (0.174, 0.051, 0.657) and Si at (0.116, 0.750, 0.435).

Energies relative to the minimum, kJ/mol of atoms: a 24.9; b 19.8; c 0.0

a | Material: ScSi3Sn
Method: DFT, GGA-PBEsol
State: optimized geometry

For the total magnetic moment, the calculation gives 0.000 μB/f.u.

It has space group Pm-3m (No. 221), with a = 4.941 Å, b = 4.941 Å, c = 4.941 Å, α = 90.00°, β = 90.00° and γ = 90.00°. Symmetry generates all atoms from Sc at (0.000, 0.000, 0.000), Si at (0.000, 0.000, 0.500) and Sn at (0.500, 0.500, 0.500).

b | Material: ScSi3Sn
Method: DFT, GGA-PBEsol
State: optimized geometry

For the total magnetic moment, the calculation gives 0.001 μB/f.u.

It has space group Pm-3m (No. 221), with a = 5.013 Å, b = 5.013 Å, c = 5.013 Å, α = 90.00°, β = 90.00° and γ = 90.00°. Symmetry generates all atoms from Sc at (0.000, 0.000, 0.000), Si at (0.000, 0.500, 0.500) and Sn at (0.500, 0.500, 0.500).

Energies relative to the minimum, kJ/mol of atoms: a 0.0; b 30.4

a | Material: SrScSi2
Method: DFT, GGA-PBEsol
State: optimized geometry

For the total magnetic moment, the calculation gives 0.000 μB/f.u.

It has space group I-42d (No. 122), with a = 5.023 Å, b = 5.023 Å, c = 17.802 Å, α = 90.00°, β = 90.00° and γ = 90.00°. Symmetry generates all atoms from Sr at (0.000, 0.000, 0.000), Sc at (0.000, 0.000, 0.500) and Si at (0.084, 0.250, 0.625).

b | Material: SrScSi2
Method: DFT, GGA-PBEsol
State: optimized geometry

For the total magnetic moment, the calculation gives 0.153 μB/f.u.

It has space group Cmmm (No. 65), with a = 6.514 Å, b = 8.258 Å, c = 3.074 Å, α = 90.00°, β = 90.00° and γ = 90.00°. Symmetry generates all atoms from Sr at (0.000, 0.000, 0.000), Sc at (0.000, 0.500, 0.000) and Si at (0.250, 0.250, 0.500).

Energies relative to the minimum, kJ/mol of atoms: a 20.6; b 0.0